# 1
Below is a geometry-optimized KY2Ni structure, with properties calculated at the PBE-GGA level.

Summary:
formation energy	498.0	meV/atom
total moment	0.0	Bohr magnetons per cell
ΔE to the lowest computed polymorph	527	meV/atom
raw total energy	-17.8	eV/cell
SG	Fm-3m (225)

Cell and atoms, written as POSCAR:
```
KY2Ni
1.0
0.0000 3.7065 3.7065
3.7065 0.0000 3.7065
3.7065 3.7065 0.0000
Y Ni K
2 1 1
direct
0.2500 0.2500 0.2500
0.7500 0.7500 0.7500
0.5000 0.5000 0.5000
0.0000 0.0000 0.0000
```

=====

# 2
Below is a geometry-optimized KZn4Ni structure, with properties calculated at the PBE-GGA level.

Summary:
formation energy	260.4	meV/atom
total moment	0.0	Bohr magnetons per cell
raw total energy	-10.4	eV/cell
SG	F-43m (216)

Cell and atoms, written as POSCAR:
```
KZn4Ni
1.0
0.0000 3.7491 3.7491
3.7491 0.0000 3.7491
3.7491 3.7491 0.0000
K Zn Ni
1 4 1
direct
0.7500 0.7500 0.7500
0.8811 0.3730 0.3730
0.3730 0.3730 0.8811
0.3730 0.8811 0.3730
0.3730 0.3730 0.3730
0.0000 0.0000 0.0000
```

=====

# 3
Below is a geometry-optimized K2ZnNi structure, with properties calculated at the PBE-GGA level.

Summary:
formation energy	599.4	meV/atom
total moment	0.1	Bohr magnetons per cell
ΔE to the lowest computed polymorph	345	meV/atom
raw total energy	-6.9	eV/cell
SG	C2/m (12)

Cell and atoms, written as POSCAR:
```
K2ZnNi
1.0
-3.2900 5.0245 4.3137
2.4060 -3.9646 2.3929
1.9994 2.8613 2.7476
K Ni Zn
2 1 1
direct
0.0000 0.0000 0.0000
0.5000 0.0000 0.5000
0.0000 0.5000 0.5000
0.5000 0.5000 0.0000
```